Crystalline LaTmMgTc at its relaxed geometry. Source: the Alexandria database, functional PBE.

Summary:
* density: 7542 kg/m3
* E: -5.30 eV/atom
* V: 94.7 Å³/cell
* E_form: 0.045 eV per atom

CIF file:
```
data_LaTmMgTc
_chemical_formula_sum 'La1 Tm1 Mg1 Tc1'
_symmetry_space_group_name_H-M 'P 1'
_symmetry_Int_Tables_number 1
_cell_length_a 5.116
_cell_length_b 5.116
_cell_length_c 5.116
_cell_angle_alpha 60.00
_cell_angle_beta 60.00
_cell_angle_gamma 60.00
loop_
_symmetry_equiv_pos_as_xyz
'x,y,z'
loop_
_atom_site_label
_atom_site_type_symbol
_atom_site_fract_x
_atom_site_fract_y
_atom_site_fract_z
_atom_site_occupancy
La1 La 0.000 0.000 0.000 1
Tm1 Tm 0.500 0.500 0.500 1
Mg1 Mg 0.250 0.250 0.250 1
Tc1 Tc 0.750 0.750 0.750 1
```